# 1
Below is a relaxed structure of ReNi2Hg, with properties calculated at the PBE level.

## Properties
mass density	14.60	g cm⁻³
ΔH_f (0 K)	610	meV per atom

```
data_ReNi2Hg
_chemical_formula_sum 'Re1 Ni2 Hg1'
_cell_length_a 4.799
_cell_length_b 4.799
_cell_length_c 4.799
_cell_angle_alpha 133.39
_cell_angle_beta 133.39
_cell_angle_gamma 68.04
_symmetry_space_group_name_H-M 'P 1'
_symmetry_Int_Tables_number 1
loop_
_symmetry_equiv_pos_as_xyz
'x,y,z'
loop_
_atom_site_label
_atom_site_fract_x
_atom_site_fract_y
_atom_site_fract_z
_atom_site_occupancy
Ni1 0.250 0.750 0.500 1
Ni2 0.000 0.000 0.000 1
Hg1 0.750 0.250 0.500 1
Re1 0.500 0.500 0.000 1
```

=====

# 2
Below is a relaxed structure of K6H5I, with properties calculated at the PBE level.

## Properties
E	-29.397	eV/cell
mass density	1.88	g cm⁻³

```
data_K6H5I
_chemical_formula_sum 'K6 H5 I1'
_cell_length_a 7.304
_cell_length_b 7.391
_cell_length_c 7.371
_cell_angle_alpha 59.91
_cell_angle_beta 80.21
_cell_angle_gamma 70.17
_symmetry_space_group_name_H-M 'P 1'
_symmetry_Int_Tables_number 1
loop_
_symmetry_equiv_pos_as_xyz
'x,y,z'
loop_
_atom_site_label
_atom_site_fract_x
_atom_site_fract_y
_atom_site_fract_z
_atom_site_occupancy
I1 0.000 0.000 0.000 1
H1 0.500 0.500 0.000 1
K1 0.255 0.907 0.622 1
K2 0.255 0.529 0.378 1
H2 0.500 0.833 0.334 1
H3 0.000 0.669 0.662 1
H4 0.500 0.167 0.666 1
H5 0.000 0.331 0.338 1
K3 0.289 0.270 0.000 1
K4 0.745 0.093 0.378 1
K5 0.745 0.471 0.622 1
K6 0.711 0.730 0.000 1
```

=====

# 3
Below is a relaxed structure of Ga2MoRh, with properties calculated at the PBE level.

## Properties
mass density	9.48	g cm⁻³
ΔH_f (0 K)	-157	meV per atom

```
data_Ga2MoRh
_chemical_formula_sum 'Ga2 Mo1 Rh1'
_cell_length_a 4.376
_cell_length_b 4.376
_cell_length_c 4.376
_cell_angle_alpha 60.00
_cell_angle_beta 60.00
_cell_angle_gamma 60.00
_symmetry_space_group_name_H-M 'P 1'
_symmetry_Int_Tables_number 1
loop_
_symmetry_equiv_pos_as_xyz
'x,y,z'
loop_
_atom_site_label
_atom_site_fract_x
_atom_site_fract_y
_atom_site_fract_z
_atom_site_occupancy
Ga1 0.750 0.750 0.750 1
Mo1 0.000 0.000 0.000 1
Ga2 0.250 0.250 0.250 1
Rh1 0.500 0.500 0.500 1
```

=====

# 4
Below is a relaxed structure of NaTa2Ni, with properties calculated at the PBE level.

## Properties
mass density	10.03	g cm⁻³
ΔH_f (0 K)	1036	meV per atom

```
data_NaTa2Ni
_chemical_formula_sum 'Na2 Ta4 Ni2'
_cell_length_a 3.856
_cell_length_b 3.856
_cell_length_c 10.252
_cell_angle_alpha 79.16
_cell_angle_beta 79.16
_cell_angle_gamma 90.00
_symmetry_space_group_name_H-M 'P 1'
_symmetry_Int_Tables_number 1
loop_
_symmetry_equiv_pos_as_xyz
'x,y,z'
loop_
_atom_site_label
_atom_site_fract_x
_atom_site_fract_y
_atom_site_fract_z
_atom_site_occupancy
Ta1 0.375 0.359 0.750 1
Na1 0.500 0.500 0.000 1
Ta2 0.641 0.125 0.250 1
Ni1 0.000 0.000 0.000 1
Na2 0.250 0.750 0.500 1
Ta3 0.109 0.625 0.250 1
Ni2 0.750 0.250 0.500 1
Ta4 0.875 0.891 0.750 1
```

=====

# 5
Below is a relaxed structure of BaSc2Ta, with properties calculated at the PBE level.

## Properties
mass density	5.90	g cm⁻³
ΔH_f (0 K)	531	meV per atom

```
data_BaSc2Ta
_chemical_formula_sum 'Ba1 Sc2 Ta1'
_cell_length_a 5.378
_cell_length_b 5.378
_cell_length_c 7.055
_cell_angle_alpha 86.39
_cell_angle_beta 86.39
_cell_angle_gamma 34.36
_symmetry_space_group_name_H-M 'P 1'
_symmetry_Int_Tables_number 1
loop_
_symmetry_equiv_pos_as_xyz
'x,y,z'
loop_
_atom_site_label
_atom_site_fract_x
_atom_site_fract_y
_atom_site_fract_z
_atom_site_occupancy
Ba1 0.248 0.248 0.265 1
Sc1 0.755 0.755 0.720 1
Sc2 0.008 0.008 0.929 1
Ta1 0.489 0.489 0.587 1
```

=====

# 6
Below is a relaxed structure of Sr2ZrTl, with properties calculated at the PBE level.

## Properties
mass density	5.70	g cm⁻³
ΔH_f (0 K)	340	meV per atom

```
data_Sr2ZrTl
_chemical_formula_sum 'Sr2 Zr1 Tl1'
_cell_length_a 5.787
_cell_length_b 5.787
_cell_length_c 5.787
_cell_angle_alpha 60.00
_cell_angle_beta 60.00
_cell_angle_gamma 60.00
_symmetry_space_group_name_H-M 'P 1'
_symmetry_Int_Tables_number 1
loop_
_symmetry_equiv_pos_as_xyz
'x,y,z'
loop_
_atom_site_label
_atom_site_fract_x
_atom_site_fract_y
_atom_site_fract_z
_atom_site_occupancy
Tl1 0.500 0.500 0.500 1
Sr1 0.750 0.750 0.750 1
Zr1 0.000 0.000 0.000 1
Sr2 0.250 0.250 0.250 1
```

=====

# 7
Below is a relaxed structure of Nd2NbS5, with properties calculated at the PBE level.

## Properties
mass density	4.84	g cm⁻³
energy relative to the elements, uncorrected	-1.326	eV/atom

```
data_Nd2NbS5
_chemical_formula_sum 'Nd2 Nb1 S5'
_cell_length_a 6.928
_cell_length_b 6.928
_cell_length_c 6.246
_cell_angle_alpha 123.69
_cell_angle_beta 123.69
_cell_angle_gamma 89.98
_symmetry_space_group_name_H-M 'P 1'
_symmetry_Int_Tables_number 1
loop_
_symmetry_equiv_pos_as_xyz
'x,y,z'
loop_
_atom_site_label
_atom_site_fract_x
_atom_site_fract_y
_atom_site_fract_z
_atom_site_occupancy
S1 0.769 0.258 0.028 1
Nd1 0.790 0.290 0.580 1
S2 0.258 0.769 0.027 1
Nd2 0.290 0.790 0.580 1
S3 0.258 0.258 0.028 1
S4 0.769 0.769 0.028 1
Nb1 0.959 0.959 0.918 1
S5 0.682 0.682 0.365 1
```

=====

# 8
Below is a relaxed structure of Er2PuMn2C4, with properties calculated at the PBE level.

## Properties
mass density	10.32	g cm⁻³
ΔH_f (0 K)	-79	meV per atom

```
data_Er2PuMn2C4
_chemical_formula_sum 'Er2 Pu1 Mn2 C4'
_cell_length_a 3.352
_cell_length_b 6.615
_cell_length_c 5.935
_cell_angle_alpha 110.69
_cell_angle_beta 90.00
_cell_angle_gamma 104.68
_symmetry_space_group_name_H-M 'P 1'
_symmetry_Int_Tables_number 1
loop_
_symmetry_equiv_pos_as_xyz
'x,y,z'
loop_
_atom_site_label
_atom_site_fract_x
_atom_site_fract_y
_atom_site_fract_z
_atom_site_occupancy
C1 0.220 0.439 0.199 1
C2 0.780 0.561 0.801 1
Er1 0.863 0.725 0.457 1
Er2 0.137 0.275 0.543 1
C3 0.464 0.928 0.251 1
Pu1 0.000 0.000 0.000 1
Mn1 0.318 0.636 0.014 1
C4 0.536 0.072 0.749 1
Mn2 0.682 0.364 0.986 1
```

=====

# 9
Below is a relaxed structure of TiAlSN2, with properties calculated at the PBE level.

## Properties
mass density	2.99	g cm⁻³
energy relative to the elements, uncorrected	0.117	eV/atom

```
data_TiAlSN2
_chemical_formula_sum 'Ti1 Al1 S1 N2'
_cell_length_a 3.806
_cell_length_b 3.806
_cell_length_c 5.179
_cell_angle_alpha 90.00
_cell_angle_beta 90.00
_cell_angle_gamma 90.00
_symmetry_space_group_name_H-M 'P 1'
_symmetry_Int_Tables_number 1
loop_
_symmetry_equiv_pos_as_xyz
'x,y,z'
loop_
_atom_site_label
_atom_site_fract_x
_atom_site_fract_y
_atom_site_fract_z
_atom_site_occupancy
N1 0.500 0.000 0.000 1
Al1 0.500 0.500 0.500 1
N2 0.000 0.500 0.000 1
S1 0.000 0.000 0.500 1
Ti1 0.000 0.000 0.000 1
```

=====

# 10
Below is a relaxed structure of LaTbSm2Sc, with properties calculated at the PBE level.

## Properties
mass density	6.49	g cm⁻³
ΔH_f (0 K)	216	meV per atom

```
data_LaTbSm2Sc
_chemical_formula_sum 'La2 Tb2 Sm4 Sc2'
_cell_length_a 6.741
_cell_length_b 7.819
_cell_length_c 6.243
_cell_angle_alpha 90.00
_cell_angle_beta 90.00
_cell_angle_gamma 90.00
_symmetry_space_group_name_H-M 'P 1'
_symmetry_Int_Tables_number 1
loop_
_symmetry_equiv_pos_as_xyz
'x,y,z'
loop_
_atom_site_label
_atom_site_fract_x
_atom_site_fract_y
_atom_site_fract_z
_atom_site_occupancy
Sm1 0.282 0.288 0.250 1
Tb1 0.400 0.000 0.750 1
Sm2 0.718 0.712 0.750 1
La1 0.804 0.500 0.250 1
Sc1 0.000 0.000 0.500 1
La2 0.196 0.500 0.750 1
Tb2 0.600 0.000 0.250 1
Sm3 0.282 0.712 0.250 1
Sm4 0.718 0.288 0.750 1
Sc2 0.000 0.000 0.000 1
```

=====

# 11
Below is a relaxed structure of Sn2PHF, with properties calculated at the PBE level.

## Properties
E	-18.536	eV/cell
mass density	5.33	g cm⁻³

```
data_Sn2PHF
_chemical_formula_sum 'Sn2 P1 H1 F1'
_cell_length_a 4.925
_cell_length_b 3.705
_cell_length_c 4.925
_cell_angle_alpha 90.00
_cell_angle_beta 90.00
_cell_angle_gamma 90.00
_symmetry_space_group_name_H-M 'P 1'
_symmetry_Int_Tables_number 1
loop_
_symmetry_equiv_pos_as_xyz
'x,y,z'
loop_
_atom_site_label
_atom_site_fract_x
_atom_site_fract_y
_atom_site_fract_z
_atom_site_occupancy
Sn1 0.000 0.000 0.500 1
F1 0.000 0.000 0.000 1
H1 0.000 0.500 0.000 1
P1 0.500 0.500 0.500 1
Sn2 0.500 0.000 0.000 1
```

=====

# 12
Below is a relaxed structure of TcRhW2, with properties calculated at the PBE level.

## Properties
mass density	15.49	g cm⁻³
ΔH_f (0 K)	8	meV per atom

```
data_TcRhW2
_chemical_formula_sum 'Tc1 Rh1 W2'
_cell_length_a 3.969
_cell_length_b 3.969
_cell_length_c 3.868
_cell_angle_alpha 90.00
_cell_angle_beta 90.00
_cell_angle_gamma 90.00
_symmetry_space_group_name_H-M 'P 1'
_symmetry_Int_Tables_number 1
loop_
_symmetry_equiv_pos_as_xyz
'x,y,z'
loop_
_atom_site_label
_atom_site_fract_x
_atom_site_fract_y
_atom_site_fract_z
_atom_site_occupancy
Tc1 0.000 0.500 0.500 1
W1 0.500 0.500 0.000 1
W2 0.000 0.000 0.000 1
Rh1 0.500 0.000 0.500 1
```

=====

Number 1: spin magnetization 1.5 μB per cell, calculated volume 57 Å³ per cell. Number 2: spin magnetization 0.2 μB per cell, calculated volume 324 Å³ per cell. Number 3: spin magnetization 1.8 μB per cell, calculated volume 59 Å³ per cell. Number 4: spin magnetization 0.0 μB per cell, calculated volume 147 Å³ per cell. Number 5: spin magnetization 0.0 μB per cell, calculated volume 115 Å³ per cell. Number 6: spin magnetization 2.9 μB per cell, calculated volume 137 Å³ per cell. Number 7: spin magnetization 0.0 μB per cell, calculated volume 186 Å³ per cell. Number 8: spin magnetization 5.4 μB per cell, calculated volume 119 Å³ per cell. Number 9: spin magnetization 0.4 μB per cell, calculated volume 75 Å³ per cell. Number 10: spin magnetization 0.0 μB per cell, calculated volume 329 Å³ per cell. Number 11: spin magnetization 0.0 μB per cell, calculated volume 90 Å³ per cell. Number 12: spin magnetization 0.0 μB per cell, calculated volume 61 Å³ per cell.